Below is a relaxed structure of Y9Pb3C2, with properties calculated at the PBE level.

For the formation enthalpy at 0 K, the calculation gives -0.4810 eV per atom.

It has space group P-3m1 (No. 164), with a = 6.9658 Å, b = 6.9658 Å, c = 8.5417 Å, α = 90.00°, β = 90.00° and γ = 120.00°. The asymmetric unit holds Y at (0.0000, 0.5000, 0.0000), Y at (0.1700, 0.3400, 0.6701), Pb at (0.0000, 0.0000, 0.0000), Pb at (0.3333, 0.6667, 0.3339) and C at (0.3333, 0.6667, 0.8311).